Cu2Ag3 PBE optimized geometry; VASP energy = -3.104 eV/atom; V = 15.6 A^3/atom
1.0
9.2072 -1.4320 0.0000
9.2072 1.4320 0.0000
-0.9613 0.0000 5.9051
Cu Ag
4 6
direct
0.1039 0.1039 0.0360 Cu
0.2995 0.2995 0.1235 Cu
0.7005 0.7005 0.8765 Cu
0.8961 0.8961 0.9640 Cu
0.1077 0.1077 0.5706 Ag
0.2965 0.2965 0.6739 Ag
0.4953 0.4953 0.7594 Ag
0.5047 0.5047 0.2406 Ag
0.7035 0.7035 0.3261 Ag
0.8923 0.8923 0.4294 Ag